Entry 1:
Below is a geometry-optimized ErIn2GaCl6 structure, with properties calculated at the GGA-PBE level.

POSCAR file:
```
ErIn2GaCl6
1.0
3.8380 2.2159 6.4136
-3.8380 2.2159 6.4136
0.0000 -4.4317 6.4136
Er In Ga Cl
1 2 1 6
direct
0.0000 0.0000 0.0000
0.2944 0.2944 0.2944
0.7870 0.7870 0.7870
0.5090 0.5090 0.5090
0.1460 0.3160 0.7533
0.2059 0.8638 0.6717
0.3160 0.7533 0.1460
0.6717 0.2059 0.8638
0.7533 0.1460 0.3160
0.8638 0.6717 0.2059
```

Properties
final energy = -3.81 eV/atom
total magnetic moment = 0.00 μB per cell

***

Entry 2:
Below is a geometry-optimized K2ErGaCl6 structure, with properties calculated at the GGA-PBE level.

POSCAR file:
```
K2ErGaCl6
1.0
3.7988 2.1933 6.4743
-3.7988 2.1933 6.4743
0.0000 -4.3865 6.4743
K Er Ga Cl
2 1 1 6
direct
0.0000 0.0000 0.0000
0.4915 0.4915 0.4915
0.7851 0.7851 0.7851
0.2760 0.2760 0.2760
0.0278 0.4564 0.6538
0.1192 0.9151 0.5722
0.4564 0.6538 0.0278
0.5722 0.1192 0.9151
0.6538 0.0278 0.4564
0.9151 0.5722 0.1192
```

Properties
final energy = -3.95 eV/atom
total magnetic moment = 0.00 μB per cell

***

Entry 3:
Below is a geometry-optimized Na2ErGaCl6 structure, with properties calculated at the GGA-PBE level.

POSCAR file:
```
Na2ErGaCl6
1.0
3.5534 2.0516 6.4697
-3.5534 2.0516 6.4697
0.0000 -4.1031 6.4697
Na Er Ga Cl
2 1 1 6
direct
0.0000 0.0000 0.0000
0.4872 0.4872 0.4872
0.6843 0.6843 0.6843
0.1991 0.1991 0.1991
0.0603 0.4312 0.7715
0.3007 0.8778 0.6142
0.4312 0.7715 0.0603
0.6142 0.3007 0.8778
0.7715 0.0603 0.4312
0.8778 0.6142 0.3007
```

Properties
final energy = -3.91 eV/atom
total magnetic moment = 0.00 μB per cell

***

Entry 4:
Below is a geometry-optimized NaErGa2Cl6 structure, with properties calculated at the GGA-PBE level.

POSCAR file:
```
NaErGa2Cl6
1.0
7.0550 0.0000 0.0000
0.0000 7.6698 0.0000
-6.7517 0.0000 10.3195
Na Er Ga Cl
2 2 4 12
direct
0.0000 0.0000 0.0000
0.0000 0.5000 0.5000
0.5000 0.0000 0.5000
0.5000 0.5000 0.0000
0.2047 0.0797 0.7211
0.2047 0.4203 0.2211
0.7953 0.5797 0.7789
0.7953 0.9203 0.2789
0.1479 0.1782 0.4589
0.1479 0.3218 0.9589
0.2493 0.7172 0.4286
0.2493 0.7828 0.9286
0.3806 0.0496 0.2593
0.3806 0.4504 0.7593
0.6194 0.5496 0.2407
0.6194 0.9504 0.7407
0.7507 0.2172 0.0714
0.7507 0.2828 0.5714
0.8521 0.6782 0.0411
0.8521 0.8218 0.5411
```

Properties
final energy = -3.87 eV/atom
total magnetic moment = 0.00 μB per cell

***

Entry 5:
Below is a geometry-optimized Rb2ErGaCl6 structure, with properties calculated at the GGA-PBE level.

POSCAR file:
```
Rb2ErGaCl6
1.0
7.6462 0.0000 0.0000
3.6061 6.7492 0.0000
3.6091 2.1640 6.3943
Rb Er Ga Cl
2 1 1 6
direct
0.0000 0.0000 0.0000
0.4849 0.4832 0.4839
0.2421 0.2413 0.2416
0.7421 0.7414 0.7416
0.0196 0.3977 0.5514
0.0862 0.9309 0.4619
0.3979 0.5517 0.0209
0.4643 0.0849 0.9318
0.5517 0.0209 0.3986
0.9324 0.4614 0.0847
```

Properties
final energy = -3.94 eV/atom
total magnetic moment = 0.00 μB per cell

***

Entry 6:
Below is a geometry-optimized RbErGa2Cl6 structure, with properties calculated at the GGA-PBE level.

POSCAR file:
```
RbErGa2Cl6
1.0
7.5546 0.0000 0.0000
3.7739 6.5625 0.0000
3.7754 2.1764 6.6869
Rb Er Ga Cl
1 1 2 6
direct
0.0000 0.0000 0.0000
0.4872 0.4877 0.5370
0.2935 0.2940 0.1192
0.8004 0.7998 0.5994
0.1173 0.4308 0.7940
0.2517 0.8397 0.3340
0.4299 0.6559 0.7955
0.5744 0.2528 0.3327
0.6556 0.1192 0.7946
0.8397 0.5751 0.3339
```

Properties
final energy = -3.87 eV/atom
total magnetic moment = 0.00 μB per cell

***

Entry 7:
Below is a geometry-optimized Er4GaSe2Cl structure, with properties calculated at the GGA-PBE level.

POSCAR file:
```
Er4GaSe2Cl
1.0
7.0278 0.0000 0.0000
0.0000 4.0148 0.0000
-2.2881 0.0000 6.6982
Er Ga Se Cl
4 1 2 1
direct
0.2301 0.0000 0.2457
0.2381 0.5000 0.7437
0.7619 0.5000 0.2563
0.7699 0.0000 0.7543
0.0000 0.0000 0.5000
0.0000 0.5000 0.0000
0.5000 0.0000 0.0000
0.5000 0.5000 0.5000
```

Properties
final energy = -5.08 eV/atom
total magnetic moment = 0.00 μB per cell

***

Entry 8:
Below is a geometry-optimized ErGaSnCl6 structure, with properties calculated at the GGA-PBE level.

POSCAR file:
```
ErGaSnCl6
1.0
6.6938 0.0000 0.0000
0.0000 6.6938 0.0000
0.0000 0.0000 12.6637
Er Ga Sn Cl
2 2 2 12
direct
0.0000 0.0000 0.0000
0.5000 0.5000 0.5000
0.0000 0.0000 0.6681
0.5000 0.5000 0.1681
0.0000 0.0000 0.3345
0.5000 0.5000 0.8345
0.1824 0.1824 0.1585
0.1948 0.1948 0.8509
0.2223 0.2223 0.4944
0.2777 0.7223 0.9944
0.3052 0.6948 0.3509
0.3176 0.6824 0.6585
0.6824 0.3176 0.6585
0.6948 0.3052 0.3509
0.7223 0.2777 0.9944
0.7777 0.7777 0.4944
0.8052 0.8052 0.8509
0.8176 0.8176 0.1585
```

Properties
final energy = -4.02 eV/atom
total magnetic moment = 0.00 μB per cell

***

Entry 9:
Below is a geometry-optimized ErTl2GaCl6 structure, with properties calculated at the GGA-PBE level.

POSCAR file:
```
ErTl2GaCl6
1.0
3.8480 2.2216 6.3915
-3.8480 2.2216 6.3915
0.0000 -4.4433 6.3915
Er Tl Ga Cl
1 2 1 6
direct
0.0000 0.0000 0.0000
0.2898 0.2898 0.2898
0.7822 0.7822 0.7822
0.5075 0.5075 0.5075
0.1445 0.3176 0.7579
0.2104 0.8602 0.6749
0.3176 0.7579 0.1445
0.6749 0.2104 0.8602
0.7579 0.1445 0.3176
0.8602 0.6749 0.2104
```

Properties
final energy = -3.82 eV/atom
total magnetic moment = 0.00 μB per cell

***

Entry 10:
Below is a geometry-optimized GdEr2Cl structure, with properties calculated at the GGA-PBE level.

POSCAR file:
```
GdEr2Cl
1.0
1.7140 0.9896 11.0509
-1.7140 0.9896 11.0509
0.0000 -1.9792 11.0509
Gd Er Cl
1 2 1
direct
0.0000 0.0000 0.0000
0.1002 0.1002 0.1002
0.8998 0.8998 0.8998
0.5000 0.5000 0.5000
```

Properties
final energy = -6.63 eV/atom
total magnetic moment = 8.40 μB per cell

***

| no. | DOS at the Fermi energy (states/eV/f.u.) | formation energy (no corrections) (eV per formula unit) |
| --- | --- | --- |
| 1 | 0.00 | -13.9 |
| 2 | 0.00 | -18.7 |
| 3 | 0.00 | -17.8 |
| 4 | 0.00 | -15.6 |
| 5 | 0.00 | -18.8 |
| 6 | 0.00 | -16.0 |
| 7 | 3.80 | -10.5 |
| 8 | 0.00 | -13.5 |
| 9 | 0.00 | -14.8 |
| 10 | 5.02 | -1.5 |